Record 1
PBE-GGA DyHICl, optimized geometry; magnetic moment = 0.00 μB per formula unit; ΔE to the lowest computed polymorph = 0 meV/atom
1.0
-2.6603 1.7850 2.1669
-0.6918 -3.5464 -1.3796
6.0432 -5.9821 12.3474
Cl H Dy I
2 2 2 2
direct
0.3333 0.6667 0.8717 Cl
0.6667 0.3333 0.3717 Cl
0.3333 0.6667 0.2548 H
0.6667 0.3333 0.7548 H
0.0000 0.0000 0.2589 Dy
0.0000 0.0000 0.7589 Dy
0.3333 0.6667 0.6146 I
0.6667 0.3333 0.1146 I



Record 2
PBE-GGA Dy2H2I3Cl, optimized geometry; calculated total energy = -4.127 eV per atom; magnetic moment = 0.00 μB per formula unit
1.0
-2.7415 -2.7106 -0.7992
3.8134 -0.8578 -0.4736
0.6934 -5.0370 14.7042
Dy H I Cl
2 2 3 1
direct
0.6667 0.3333 0.2490 Dy
0.6667 0.3333 0.7595 Dy
0.0000 0.0000 0.2496 H
0.3333 0.6667 0.7558 H
0.3333 0.6667 0.3860 I
0.0000 0.0000 0.6213 I
0.3333 0.6667 0.1121 I
0.0000 0.0000 0.8668 Cl



Record 3
PBE-GGA Dy2H2ICl3, optimized geometry; calculated total energy = -4.497 eV per atom; magnetic moment = 0.00 μB per formula unit
1.0
3.8060 0.0000 0.0000
-1.9030 3.2961 0.0000
0.0000 0.0000 14.5151
Cl Dy I H
3 2 1 2
direct
0.0000 0.0000 0.3775 Cl
0.6667 0.3333 0.6297 Cl
0.6667 0.3333 0.8687 Cl
0.3333 0.6667 0.2598 Dy
0.3333 0.6667 0.7491 Dy
0.0000 0.0000 0.1100 I
0.0000 0.0000 0.7497 H
0.6667 0.3333 0.2555 H



Record 4
PBE-GGA DyHICl, optimized geometry; magnetic moment = 0.00 μB per formula unit; ΔE to the lowest computed polymorph = 2 meV/atom
1.0
3.8700 0.0000 0.0000
-1.9350 3.3515 0.0000
0.0000 0.0000 15.1580
Cl Dy I H
2 2 2 2
direct
0.3333 0.6667 0.6273 Cl
0.6667 0.3333 0.3727 Cl
0.0000 0.0000 0.2614 Dy
0.0000 0.0000 0.7386 Dy
0.3333 0.6667 0.8814 I
0.6667 0.3333 0.1186 I
0.6667 0.3333 0.7431 H
0.3333 0.6667 0.2569 H



Record 5
PBE-GGA NdDyH2Cl4, optimized geometry; calculated total energy = -4.698 eV per atom; magnetic moment = 0.00 μB per formula unit
1.0
3.8315 0.0000 0.0000
-1.9158 3.3182 0.0000
0.0000 0.0000 13.3014
Cl H Nd Dy
4 2 1 1
direct
0.3333 0.6667 0.1361 Cl
0.6667 0.3333 0.6292 Cl
0.3333 0.6667 0.8639 Cl
0.6667 0.3333 0.3708 Cl
0.3333 0.6667 0.5000 H
0.6667 0.3333 0.0000 H
0.0000 0.0000 0.0000 Nd
0.0000 0.0000 0.5000 Dy



Record 6
PBE-GGA PrDyH2Cl4, optimized geometry; calculated total energy = -4.692 eV per atom; magnetic moment = 0.00 μB per formula unit
1.0
-2.9747 -2.4390 0.2121
2.8999 -0.7060 -2.4361
6.3091 -6.8687 9.5006
Cl H Dy Pr
4 2 1 1
direct
0.6667 0.3333 0.6370 Cl
0.6667 0.3333 0.3630 Cl
0.3333 0.6667 0.8714 Cl
0.3333 0.6667 0.1286 Cl
0.3333 0.6667 0.5000 H
0.6667 0.3333 0.0000 H
0.0000 0.0000 0.0000 Dy
0.0000 0.0000 0.5000 Pr



Record 7
PBE-GGA DyScH2Cl4, optimized geometry; calculated total energy = -4.788 eV per atom; magnetic moment = 0.00 μB per formula unit
1.0
3.6139 0.0000 0.0000
-1.8069 3.1297 0.0000
0.0000 0.0000 13.3133
Cl H Dy Sc
4 2 1 1
direct
0.3333 0.6667 0.1342 Cl
0.6667 0.3333 0.3754 Cl
0.3333 0.6667 0.8658 Cl
0.6667 0.3333 0.6246 Cl
0.6667 0.3333 0.0000 H
0.3333 0.6667 0.5000 H
0.0000 0.0000 0.0000 Dy
0.0000 0.0000 0.5000 Sc



Record 8
PBE-GGA TbDyH2Cl4, optimized geometry; calculated total energy = -4.695 eV per atom; magnetic moment = 0.00 μB per formula unit
1.0
-1.7922 0.3881 3.2711
-0.5251 -3.0814 -2.0716
10.0672 -5.8940 6.2150
Dy Cl Tb H
1 4 1 2
direct
0.0000 0.0000 0.0000 Dy
0.3333 0.6667 0.8678 Cl
0.6667 0.3333 0.3672 Cl
0.3333 0.6667 0.1322 Cl
0.6667 0.3333 0.6328 Cl
0.0000 0.0000 0.5000 Tb
0.3333 0.6667 0.5000 H
0.6667 0.3333 0.0000 H



Record 9
PBE-GGA DyTmH2Cl4, optimized geometry; calculated total energy = -4.665 eV per atom; magnetic moment = 0.00 μB per formula unit
1.0
-0.0288 1.5266 3.3748
-3.1922 -0.6964 -1.7450
-0.3521 -12.1502 5.4931
Cl H Tm Dy
4 2 1 1
direct
0.6667 0.3333 0.6292 Cl
0.3333 0.6667 0.8680 Cl
0.3333 0.6667 0.1320 Cl
0.6667 0.3333 0.3708 Cl
0.3333 0.6667 0.5000 H
0.6667 0.3333 0.0000 H
0.0000 0.0000 0.5000 Tm
0.0000 0.0000 0.0000 Dy



Record 10
PBE-GGA DyYH2Cl4, optimized geometry; calculated total energy = -4.917 eV per atom; magnetic moment = 0.00 μB per formula unit
1.0
3.7432 0.0000 0.0000
-1.8716 3.2417 0.0000
0.0000 0.0000 13.2193
H Y Cl Dy
2 1 4 1
direct
0.6667 0.3333 0.0000 H
0.3333 0.6667 0.5000 H
0.0000 0.0000 0.5000 Y
0.3333 0.6667 0.8677 Cl
0.6667 0.3333 0.3672 Cl
0.6667 0.3333 0.6328 Cl
0.3333 0.6667 0.1323 Cl
0.0000 0.0000 0.0000 Dy



Record 11
PBE-GGA DyHoNCl3, optimized geometry; magnetic moment = 0.00 μB per formula unit; ΔE to the lowest computed polymorph = 5 meV/atom
1.0
8.2784 -1.9098 0.0000
8.2784 1.9098 0.0000
-5.8135 0.0000 9.1027
Dy Cl Ho N
2 6 2 2
direct
0.4172 0.4172 0.5437 Dy
0.5828 0.5828 0.4563 Dy
0.2196 0.2196 0.6156 Cl
0.7804 0.7804 0.3844 Cl
0.6674 0.6674 0.0123 Cl
0.3326 0.3326 0.9877 Cl
0.0430 0.0430 0.2486 Cl
0.9570 0.9570 0.7514 Cl
0.1380 0.1380 0.7925 Ho
0.8620 0.8620 0.2075 Ho
0.5768 0.5768 0.6573 N
0.4232 0.4232 0.3427 N



Record 12
PBE-GGA DyHoNCl3, optimized geometry; magnetic moment = 0.00 μB per formula unit; ΔE to the lowest computed polymorph = 0 meV/atom
1.0
8.3530 -1.9102 0.0000
8.3530 1.9102 0.0000
-5.8970 0.0000 9.1179
Cl Ho Dy N
6 2 2 2
direct
0.6680 0.6680 0.5115 Cl
0.0426 0.0426 0.7516 Cl
0.3320 0.3320 0.4885 Cl
0.7829 0.7829 0.8856 Cl
0.9574 0.9574 0.2484 Cl
0.2171 0.2171 0.1144 Cl
0.5816 0.5816 0.9569 Ho
0.4184 0.4184 0.0431 Ho
0.8621 0.8621 0.7083 Dy
0.1379 0.1379 0.2917 Dy
0.4238 0.4238 0.8435 N
0.5762 0.5762 0.1565 N



Record 13
PBE-GGA Dy2Ho2SiCl5, optimized geometry; calculated total energy = -4.980 eV per atom; magnetic moment = 0.01 μB per formula unit
1.0
0.0621 8.4235 2.9704
-1.3814 8.8000 -0.6596
-7.1283 -2.6468 2.5602
Dy Cl Ho Si
2 5 2 1
direct
0.6546 0.6546 0.0833 Dy
0.3454 0.3454 0.9167 Dy
0.8351 0.8351 0.6765 Cl
0.8270 0.8270 0.1534 Cl
0.5000 0.5000 0.5000 Cl
0.1649 0.1649 0.3235 Cl
0.1730 0.1730 0.8466 Cl
0.9999 0.9999 0.7700 Ho
0.0001 0.0001 0.2300 Ho
0.5000 0.5000 0.0000 Si



Record 14
PBE-GGA DyI2Cl, optimized geometry; calculated total energy = -4.082 eV per atom; magnetic moment = 0.00 μB per formula unit
1.0
3.8342 -6.2718 0.0000
3.8342 6.2718 0.0000
-2.4972 0.0000 7.3691
I Cl Dy
4 2 2
direct
0.9340 0.5832 0.2422 I
0.4168 0.0660 0.7578 I
0.5832 0.9340 0.2422 I
0.0660 0.4168 0.7578 I
0.1840 0.1840 0.1992 Cl
0.8160 0.8160 0.8008 Cl
0.1609 0.8391 0.0000 Dy
0.8391 0.1609 0.0000 Dy



Record 15
PBE-GGA Dy2Y2I3NCl2, optimized geometry; calculated total energy = -5.377 eV per atom; magnetic moment = 0.00 μB per formula unit
1.0
-1.2290 9.1429 0.3440
-2.1431 8.3547 -3.2905
-7.5739 -2.5452 2.4569
Y Cl I Dy N
2 2 3 2 1
direct
0.6316 0.6316 0.0606 Y
0.3684 0.3684 0.9394 Y
0.1490 0.1490 0.2999 Cl
0.8510 0.8510 0.7001 Cl
0.8255 0.8255 0.1968 I
0.1745 0.1745 0.8032 I
0.5000 0.5000 0.5000 I
0.0019 0.0019 0.8104 Dy
0.9981 0.9981 0.1896 Dy
0.5000 0.5000 0.0000 N



Record 16
PBE-GGA Dy2S2ICl, optimized geometry; calculated total energy = -5.469 eV per atom; magnetic moment = 0.00 μB per formula unit
1.0
4.0806 0.0000 0.0000
0.0000 5.3794 0.0000
0.0000 0.0000 8.8309
Dy Cl S I
2 1 2 1
direct
0.0000 0.5000 0.8814 Dy
0.5000 0.0000 0.1390 Dy
0.0000 0.0000 0.3362 Cl
0.0000 0.0000 0.9284 S
0.5000 0.5000 0.0883 S
0.5000 0.5000 0.6266 I



Record 17
PBE-GGA KDy2Cl7, optimized geometry; calculated total energy = -4.566 eV per atom; magnetic moment = 0.00 μB per formula unit
1.0
-4.1548 -3.8224 -3.9676
7.0259 -10.1768 2.4471
-7.3105 -2.5748 10.2816
K Dy Cl
4 8 28
direct
0.7767 0.2968 0.9616 K
0.2233 0.7968 0.5384 K
0.2233 0.7032 0.0384 K
0.7767 0.2032 0.4616 K
0.7729 0.9616 0.7643 Dy
0.7251 0.6592 0.7527 Dy
0.2271 0.0384 0.2357 Dy
0.2749 0.3408 0.2473 Dy
0.2271 0.4616 0.7357 Dy
0.7729 0.5384 0.2643 Dy
0.7251 0.8408 0.2527 Dy
0.2749 0.1592 0.7473 Dy
0.5080 0.6798 0.3289 Cl
0.4628 0.9433 0.3737 Cl
0.7456 0.6862 0.1050 Cl
0.2544 0.1862 0.3950 Cl
0.5372 0.0567 0.6263 Cl
0.9962 0.7035 0.3285 Cl
0.4628 0.5567 0.8737 Cl
0.9788 0.9247 0.1169 Cl
0.0212 0.0753 0.8831 Cl
0.0212 0.4247 0.3831 Cl
0.0543 0.4748 0.1314 Cl
0.5414 0.0872 0.8827 Cl
0.4586 0.9128 0.1173 Cl
0.2544 0.3138 0.8950 Cl
0.5414 0.4128 0.3827 Cl
0.0543 0.0252 0.6314 Cl
0.9457 0.9748 0.3686 Cl
0.9788 0.5753 0.6169 Cl
0.4586 0.5872 0.6173 Cl
0.0038 0.2965 0.6715 Cl
0.9457 0.5252 0.8686 Cl
0.7456 0.8138 0.6050 Cl
0.4920 0.1798 0.1711 Cl
0.9962 0.7965 0.8285 Cl
0.5372 0.4433 0.1263 Cl
0.4920 0.3202 0.6711 Cl
0.0038 0.2035 0.1715 Cl
0.5080 0.8202 0.8289 Cl



Record 18
PBE-GGA KDy4ClO6, optimized geometry; calculated total energy = -6.635 eV per atom; magnetic moment = 0.00 μB per formula unit
1.0
6.6243 0.0000 0.0000
-3.3121 5.7368 0.0000
0.0000 0.0000 8.6015
Cl Dy O K
1 4 6 1
direct
0.0000 0.0000 0.0000 Cl
0.6667 0.3333 0.2387 Dy
0.6667 0.3333 0.7613 Dy
0.3333 0.6667 0.2387 Dy
0.3333 0.6667 0.7613 Dy
0.5000 0.5000 0.6829 O
0.5000 0.5000 0.3171 O
0.0000 0.5000 0.6829 O
0.0000 0.5000 0.3171 O
0.5000 0.0000 0.3171 O
0.5000 0.0000 0.6829 O
0.0000 0.0000 0.5000 K



Record 19
PBE-GGA DyLuS2Cl2, optimized geometry; calculated total energy = -5.691 eV per atom; magnetic moment = 0.00 μB per formula unit
1.0
-0.3428 -0.2900 3.9139
-4.7728 -2.2426 -0.5842
3.5825 -7.5602 -0.2465
Cl Lu Dy S
2 1 1 2
direct
0.5000 0.0000 0.6472 Cl
0.0000 0.5000 0.3445 Cl
0.5000 0.5000 0.1382 Lu
0.0000 0.0000 0.8610 Dy
0.0000 0.5000 0.9194 S
0.5000 0.0000 0.0897 S



Record 20
PBE-GGA DyMg3Cl2, optimized geometry; calculated total energy = -2.545 eV per atom; magnetic moment = 0.01 μB per formula unit
1.0
-5.2507 2.2884 0.6297
1.2536 -3.0896 -4.6996
-1.4986 -4.0636 2.2717
Dy Mg Cl
1 3 2
direct
0.0000 0.0000 0.0000 Dy
0.5000 0.5000 0.5000 Mg
0.5000 0.0000 0.5000 Mg
0.0000 0.5000 0.5000 Mg
0.3334 0.6666 0.0000 Cl
0.6666 0.3334 0.0000 Cl